i:
KSrTc: optimized geometry, PBE.

Unit cell a=3.5284 b=3.5284 c=9.0896 alpha=90.00 beta=90.00 gamma=120.00
Fractional positions:
K 0.0000 0.0000 0.0000
Sr 0.6667 0.3333 0.4475
Tc 0.3333 0.6667 0.7006

Properties
total magnetization = 0.628 μB/atom



ii:
KSrTc: optimized geometry, PBE.

Unit cell a=5.5353 b=5.5353 c=5.5353 alpha=60.00 beta=60.00 gamma=60.00
Fractional positions:
K 0.0000 0.0000 0.0000
Sr 0.5000 0.5000 0.5000
Tc 0.7500 0.7500 0.7500

Properties
total magnetization = 0.827 μB/atom



So which one is most stable? That would be i, about 213 meV/atom below the next structure.



i:
K3SrTe: optimized geometry, PBE.

Unit cell a=7.2439 b=7.2439 c=7.2439 alpha=90.00 beta=90.00 gamma=90.00
Fractional positions:
K 0.0000 0.0000 0.5000
K 0.0000 0.5000 0.0000
K 0.5000 0.0000 0.0000
Sr 0.0000 0.0000 0.0000
Te 0.5000 0.5000 0.5000

Properties
total magnetization = 0.191 μB/atom



ii:
K3SrTe: optimized geometry, PBE.

Unit cell a=6.7998 b=6.7998 c=6.7998 alpha=90.00 beta=90.00 gamma=90.00
Fractional positions:
K 0.0000 0.0000 0.5000
K 0.0000 0.5000 0.0000
K 0.5000 0.0000 0.0000
Sr 0.5000 0.5000 0.5000
Te 0.0000 0.0000 0.0000

Properties
total magnetization = 0.000 μB/atom



So which one is most stable? That would be ii, about 789 meV/atom below the next structure.



i:
KSr3Te: optimized geometry, PBE.

Unit cell a=6.7734 b=6.7734 c=6.7734 alpha=90.00 beta=90.00 gamma=90.00
Fractional positions:
K 0.0000 0.0000 0.0000
Sr 0.0000 0.0000 0.5000
Sr 0.0000 0.5000 0.0000
Sr 0.5000 0.0000 0.0000
Te 0.5000 0.5000 0.5000

Properties
total magnetization = 0.000 μB/atom



ii:
KSr3Te: optimized geometry, PBE.

Unit cell a=6.5506 b=6.5506 c=6.5506 alpha=90.00 beta=90.00 gamma=90.00
Fractional positions:
K 0.0000 0.0000 0.0000
Sr 0.0000 0.5000 0.5000
Sr 0.5000 0.0000 0.5000
Sr 0.5000 0.5000 0.0000
Te 0.5000 0.5000 0.5000

Properties
total magnetization = 0.000 μB/atom



So which one is most stable? That would be ii, about 985 meV/atom below the next structure.



i:
K2Sr2Ti: optimized geometry, PBE.

Unit cell a=8.8522 b=8.8522 c=7.0865 alpha=90.00 beta=90.00 gamma=90.00
Fractional positions:
K 0.1743 0.3257 0.0000
K 0.3257 0.8257 0.0000
K 0.6743 0.1743 0.0000
K 0.8257 0.6743 0.0000
Sr 0.1658 0.6658 0.5000
Sr 0.3342 0.1658 0.5000
Sr 0.6658 0.8342 0.5000
Sr 0.8342 0.3342 0.5000
Ti 0.0000 0.0000 0.5000
Ti 0.5000 0.5000 0.5000

Properties
total magnetization = 0.826 μB/atom



ii:
K2Sr2Ti: optimized geometry, PBE.

Unit cell a=11.6706 b=11.6706 c=11.6706 alpha=156.55 beta=156.55 gamma=33.40
Fractional positions:
K 0.2500 0.7500 0.5000
K 0.7500 0.2500 0.5000
Sr 0.0821 0.0821 0.0000
Sr 0.9179 0.9179 0.0000
Ti 0.5000 0.5000 0.0000

Properties
total magnetization = 0.737 μB/atom



So which one is most stable? That would be i, about 60 meV/atom below the next structure.



i:
KSrTi2: optimized geometry, PBE.

Unit cell a=12.7858 b=12.7858 c=12.7858 alpha=159.24 beta=159.24 gamma=29.53
Fractional positions:
K 0.0000 0.0000 0.0000
K 0.7500 0.2500 0.5000
Sr 0.2500 0.7500 0.5000
Sr 0.5000 0.5000 0.0000
Ti 0.2640 0.6250 0.1390
Ti 0.3750 0.5140 0.6390
Ti 0.4860 0.1250 0.8610
Ti 0.8750 0.7360 0.3610

Properties
total magnetization = 0.000 μB/atom



ii:
KSrTi2: optimized geometry, PBE.

Unit cell a=5.5801 b=5.5801 c=5.5801 alpha=60.00 beta=60.00 gamma=60.00
Fractional positions:
K 0.0000 0.0000 0.0000
Sr 0.5000 0.5000 0.5000
Ti 0.2500 0.2500 0.2500
Ti 0.7500 0.7500 0.7500

Properties
total magnetization = 0.001 μB/atom



So which one is most stable? That would be i, about 75 meV/atom below the next structure.



i:
KSr2Ti: optimized geometry, PBE.

Unit cell a=13.3499 b=13.3499 c=13.3499 alpha=156.46 beta=156.46 gamma=33.53
Fractional positions:
K 0.0000 0.0000 0.0000
K 0.7500 0.2500 0.5000
Sr 0.1426 0.6250 0.0176
Sr 0.3750 0.3926 0.5176
Sr 0.6074 0.1250 0.9824
Sr 0.8750 0.8574 0.4824
Ti 0.2500 0.7500 0.5000
Ti 0.5000 0.5000 0.0000

Properties
total magnetization = 0.907 μB/atom



ii:
KSr2Ti: optimized geometry, PBE.

Unit cell a=6.2602 b=6.2602 c=6.2602 alpha=60.00 beta=60.00 gamma=60.00
Fractional positions:
K 0.0000 0.0000 0.0000
Sr 0.2500 0.2500 0.2500
Sr 0.7500 0.7500 0.7500
Ti 0.5000 0.5000 0.5000

Properties
total magnetization = 0.800 μB/atom



So which one is most stable? That would be ii, about 257 meV/atom below the next structure.